Material: LiPm2O3
Method: DFT, GGA-PBE
State: relaxed

Computed properties:
Uncorrected formation energy (eV per atom): -2.808
Energy (eV/atom): -7.190
Symmetry: Immm, No. 71

Cell: 3.367 3.690 6.886 Å, 105.54 104.15 90.00°
Positions (direct):
1 O 0.828 0.828 0.656
2 Pm 0.640 0.640 0.280
3 Li 0.000 0.000 0.000
4 O 0.172 0.172 0.344
5 O 0.000 0.500 0.000
6 Pm 0.360 0.360 0.720

=====

Material: Cr2IrPt
Method: DFT, GGA-PBE
State: relaxed

Computed properties:
ΔE_f (eV per formula unit): -0.67
Energy (eV/atom): -8.704
Symmetry: I-4m2, No. 119

Cell: 4.674 4.674 4.674 Å, 132.14 132.14 70.00°
Each line ends with the local moment (μB).
Positions (direct):
1 Pt 0.750 0.250 0.500  -0.09
2 Cr 0.250 0.750 0.500  -1.88
3 Cr 0.000 0.000 0.000  1.91
4 Ir 0.500 0.500 0.000  0.11

=====

Material: Co2GeAs
Method: DFT, GGA-PBE
State: relaxed

Computed properties:
ΔE_f (eV per formula unit): 0.25
Energy (eV/atom): -5.807
Symmetry: Fm-3m, No. 225

Cell: 4.195 4.195 4.195 Å, 60.00 60.00 60.00°
Each line ends with the local moment (μB).
Positions (direct):
1 Co 0.250 0.250 0.250  1.03
2 Co 0.750 0.750 0.750  1.03
3 As 0.500 0.500 0.500  0.05
4 Ge 0.000 0.000 0.000  0.01

=====

Material: ThAlN
Method: DFT, GGA-PBE
State: relaxed

Computed properties:
Uncorrected formation energy (eV per atom): -0.898
Energy (eV/atom): -7.394
Symmetry: P4/nmm, No. 129

Cell: 3.473 3.473 9.319 Å, 90.00 90.00 90.00°
Positions (direct):
1 N 0.000 0.500 0.901
2 Th 0.500 0.000 0.844
3 Al 0.500 0.000 0.435
4 Th 0.000 0.500 0.156
5 Al 0.000 0.500 0.565
6 N 0.500 0.000 0.099

=====

Material: Ac2NdTl5
Method: DFT, GGA-PBE
State: relaxed

Computed properties:
ΔE_f (eV per formula unit): -2.15
Energy (eV/atom): -3.371
Symmetry: I4/mmm, No. 139

Cell: 5.734 5.734 8.816 Å, 108.98 108.98 90.00°
Positions (direct):
1 Tl 0.387 0.887 0.774
2 Tl 0.613 0.113 0.226
3 Tl 0.887 0.387 0.774
4 Tl 0.113 0.613 0.226
5 Ac 0.740 0.740 0.479
6 Tl 0.500 0.500 0.000
7 Ac 0.260 0.260 0.521
8 Nd 0.000 0.000 0.000

=====

Material: AsPRh2
Method: DFT, GGA-PBE
State: relaxed

Computed properties:
ΔE_f (eV per formula unit): -0.52
Energy (eV/atom): -6.322
Symmetry: P4/mmm, No. 123

Cell: 4.344 4.344 3.049 Å, 90.00 90.00 90.04°
Positions (direct):
1 Rh 0.000 0.000 0.000
2 As 0.500 0.000 0.500
3 P 0.000 0.500 0.500
4 Rh 0.500 0.500 0.000

=====

Material: Tm2TaSi2Ru5
Method: DFT, GGA-PBE
State: relaxed

Computed properties:
Uncorrected formation energy (eV per atom): -0.719
Energy (eV/atom): -8.521
Symmetry: P4/mbm, No. 127

Cell: 3.221 10.015 10.015 Å, 90.00 90.00 90.00°
Positions (direct):
1 Ru 0.500 0.932 0.208
2 Si 0.000 0.874 0.374
3 Ru 0.500 0.792 0.932
4 Ta 0.000 0.000 0.000
5 Ru 0.500 0.292 0.568
6 Si 0.000 0.126 0.626
7 Ru 0.500 0.500 0.000
8 Ru 0.500 0.068 0.792
9 Ru 0.500 0.568 0.708
10 Tm 0.000 0.827 0.673
11 Si 0.000 0.626 0.874
12 Tm 0.000 0.173 0.327
13 Ru 0.500 0.432 0.292
14 Ta 0.000 0.500 0.500
15 Tm 0.000 0.673 0.173
16 Ru 0.500 0.708 0.432
17 Tm 0.000 0.327 0.827
18 Si 0.000 0.374 0.126
19 Ru 0.500 0.000 0.500
20 Ru 0.500 0.208 0.068

=====

Material: Li2PmInPd4
Method: DFT, GGA-PBE
State: relaxed

Computed properties:
ΔE_f (eV per formula unit): -4.71
Energy (eV/atom): -4.599
Symmetry: R-3m, No. 166

Cell: 4.576 4.576 8.211 Å, 73.82 73.82 60.00°
Positions (direct):
1 Pm 0.000 0.000 0.000
2 Li 0.757 0.757 0.729
3 In 0.500 0.500 0.500
4 Pd 0.385 0.385 0.845
5 Pd 0.126 0.126 0.622
6 Pd 0.874 0.874 0.378
7 Pd 0.615 0.615 0.155
8 Li 0.243 0.243 0.271

=====

Material: KZr2Se4
Method: DFT, GGA-PBE
State: relaxed

Computed properties:
Uncorrected formation energy (eV per atom): -1.343
Energy (eV/atom): -5.934
Symmetry: R-3m, No. 166

Cell: 3.848 3.848 14.682 Å, 82.47 82.47 60.00°
Positions (direct):
1 K 0.000 0.000 0.000
2 Se 0.280 0.280 0.161
3 Zr 0.425 0.425 0.724
4 Se 0.872 0.872 0.383
5 Se 0.128 0.128 0.617
6 Zr 0.575 0.575 0.276
7 Se 0.720 0.720 0.839

=====

Material: Ho2LuMn
Method: DFT, GGA-PBE
State: relaxed

Computed properties:
ΔE_f (eV per formula unit): 0.84
Energy (eV/atom): -5.501
Symmetry: P4/mmm, No. 123

Cell: 4.406 4.855 4.855 Å, 90.00 90.00 90.00°
Each line ends with the local moment (μB).
Positions (direct):
1 Mn 0.500 0.500 0.500  -3.65
2 Ho 0.000 0.500 0.000  0.31
3 Ho 0.000 0.000 0.500  0.31
4 Lu 0.500 0.000 0.000  0.26

=====

Material: Y2AlPt
Method: DFT, GGA-PBE
State: relaxed

Computed properties:
ΔE_f (eV per formula unit): -3.22
Energy (eV/atom): -6.484
Symmetry: P4/mmm, No. 123

Cell: 3.584 3.584 7.005 Å, 90.00 90.00 89.98°
Positions (direct):
1 Y 0.000 0.000 0.988
2 Al 0.500 0.500 0.250
3 Y 0.000 0.000 0.512
4 Pt 0.500 0.500 0.750

=====

Material: InSbP
Method: DFT, GGA-PBE
State: relaxed

Computed properties:
Uncorrected formation energy (eV per atom): 0.111
Energy (eV/atom): -3.980
Symmetry: P3m1, No. 156

Cell: 3.895 3.895 5.644 Å, 90.00 90.00 120.00°
Positions (direct):
1 In 0.667 0.333 0.189
2 P 0.000 0.000 0.882
3 Sb 0.333 0.667 0.602

=====

> The lowest energy belongs to which entry?

Cr2IrPt

=====

> Look up the energy of the tenth one.

-5.501 eV/atom